[1]
This record from Alexandria describes crystalline CaBe2Cd2 at its relaxed geometry. The functional is GGA-PBE.

a b c (Å): 7.646 7.646 3.127
angles (deg): 90.00 90.00 90.00
Atoms (fractional coordinates):
Be1 0.393 0.893 0.000
Be2 0.893 0.607 0.000
Be3 0.607 0.107 0.000
Be4 0.107 0.393 0.000
Ca1 0.000 0.000 0.000
Ca2 0.500 0.500 0.000
Cd1 0.180 0.680 0.500
Cd2 0.680 0.820 0.500
Cd3 0.820 0.320 0.500
Cd4 0.320 0.180 0.500

Computed properties:
energy of formation = 293 meV/atom
relative energy among the computed polymorphs = 0.129 eV/atom
symmetry = No. 127

---

[2]
This record from Alexandria describes crystalline CaBeCd2 at its relaxed geometry. The functional is GGA-PBE.

a b c (Å): 5.398 5.398 5.398
angles (deg): 137.79 123.24 73.21
Atoms (fractional coordinates):
Be1 0.250 0.750 0.500
Ca1 0.750 0.250 0.500
Cd1 0.040 0.040 0.000
Cd2 0.460 0.460 0.000

Computed properties:
energy of formation = 121 meV/atom
symmetry = No. 71

---

[3]
This record from Alexandria describes crystalline Ca3BeCd at its relaxed geometry. The functional is GGA-PBE.

a b c (Å): 5.529 5.529 5.529
angles (deg): 90.00 90.00 90.00
Atoms (fractional coordinates):
Be1 0.000 0.000 0.000
Ca1 0.000 0.500 0.000
Ca2 0.000 0.000 0.500
Ca3 0.500 0.000 0.000
Cd1 0.500 0.500 0.500

Computed properties:
energy of formation = 218 meV/atom
relative energy among the computed polymorphs = 0.000 eV/atom
symmetry = No. 221